First-principles (PBE) data for an optimized crystal structure of In2PtCl, as listed in Alexandria.

Unit cell a=5.0044 b=3.1012 c=10.9227 alpha=90.00 beta=90.00 gamma=90.00
Closest atoms and distances in Å follow each position.
Space group Amm2 (No. 38)
Symmetry-distinct sites (fractional):
In 0.0000 0.0000 0.0000 x2  3 Pt 2.87-3.02, 4 Cl 2.94, 2 In 3.10
In 0.5000 0.0000 0.2483 x2  1 Cl 2.68, 4 Pt 2.95
Pt 0.0000 0.0000 0.7373 x2  7 In 2.87-3.02, 2 Pt 3.10
Cl 0.5000 0.0000 0.4937 x2  5 In 2.68-2.94

Results
M_tot: 0.0 μB/f.u.
ΔE to the lowest computed polymorph: 0.073 eV/atom
formation energy without anion corrections: -0.43 eV/atom

First-principles (PBE) data for an optimized crystal structure of InPtCl3, as listed in Alexandria.

Unit cell a=4.9703 b=4.9703 c=4.9703 alpha=90.00 beta=90.00 gamma=90.00
Closest atoms and distances in Å follow each position.
Space group Pm-3m (No. 221)
Symmetry-distinct sites (fractional):
In 0.0000 0.0000 0.0000 x1  12 Cl 3.51
Pt 0.5000 0.5000 0.5000 x1  6 Cl 2.49
Cl 0.0000 0.5000 0.5000 x3  2 Pt 2.49

Results
M_tot: 0.0 μB/f.u.
ΔE to the lowest computed polymorph: 0.000 eV/atom
formation energy without anion corrections: -0.44 eV/atom

First-principles (PBE) data for an optimized crystal structure of In2PtCl, as listed in Alexandria.

Unit cell a=4.8023 b=5.6287 c=3.2288 alpha=90.00 beta=90.00 gamma=90.00
Closest atoms and distances in Å follow each position.
Space group Pmm2 (No. 25)
Symmetry-distinct sites (fractional):
In 0.0000 0.0000 0.0000 x1  2 Cl 2.81, 4 Pt 2.89-2.90
In 0.5000 0.5000 0.4982 x1  2 Pt 2.81, 4 Cl 2.89-2.90
Pt 0.5000 0.0000 0.4991 x1  6 In 2.81-2.90
Cl 0.0000 0.5000 0.9969 x1  6 In 2.81-2.90

Results
M_tot: 0.0 μB/f.u.
ΔE to the lowest computed polymorph: 0.034 eV/atom
formation energy without anion corrections: -0.46 eV/atom

First-principles (PBE) data for an optimized crystal structure of In2PtCl, as listed in Alexandria.

Unit cell a=4.1519 b=5.8892 c=7.8199 alpha=90.00 beta=90.00 gamma=90.00
Closest atoms and distances in Å follow each position.
Space group Immm (No. 71)
Symmetry-distinct sites (fractional):
In 0.0000 0.0000 0.2248 x4  2 Pt 2.72, 2 Cl 2.99
Pt 0.0000 0.5000 0.5000 x2  4 In 2.72
Cl 0.0000 0.5000 0.0000 x2  4 In 2.99

Results
M_tot: 0.0 μB/f.u.
ΔE to the lowest computed polymorph: 0.290 eV/atom
formation energy without anion corrections: -0.21 eV/atom

First-principles (PBE) data for an optimized crystal structure of In2PtCl, as listed in Alexandria.

Unit cell a=3.8566 b=3.8566 c=22.4027 alpha=90.00 beta=90.00 gamma=120.00
Closest atoms and distances in Å follow each position.
Space group R-3m (No. 166, hexagonal axes)
Symmetry-distinct sites (fractional):
In 0.0000 0.0000 0.2363 x6  3 Pt 2.72
Pt 0.0000 0.0000 0.5000 x3  6 In 2.72
Cl 0.0000 0.0000 0.0000 x3  6 In 3.11

Results
M_tot: 0.0 μB/f.u.
ΔE to the lowest computed polymorph: 0.000 eV/atom
formation energy without anion corrections: -0.50 eV/atom

First-principles (PBE) data for an optimized crystal structure of In2PtCl, as listed in Alexandria.

Unit cell a=3.3607 b=3.4337 c=7.7419 alpha=90.00 beta=90.21 gamma=90.00
Closest atoms and distances in Å follow each position.
Space group P2/m (No. 10)
Symmetry-distinct sites (fractional):
In 0.0020 0.0000 0.2037 x2  2 Cl 2.87, 4 Pt 2.87, 1 In 3.15
Pt 0.5000 0.5000 0.0000 x1  8 In 2.87
Cl 0.0000 0.5000 0.5000 x1  4 In 2.87

Results
M_tot: 0.0 μB/f.u.
ΔE to the lowest computed polymorph: 0.039 eV/atom
formation energy without anion corrections: -0.46 eV/atom

What is the formation energy without anion corrections in the third record?
-0.46 eV/atom

What did the first record say?
First-principles (PBE) data for an optimized crystal structure of In2PtCl, as listed in Alexandria.

Unit cell a=5.0044 b=3.1012 c=10.9227 alpha=90.00 beta=90.00 gamma=90.00
Closest atoms and distances in Å follow each position.
Space group Amm2 (No. 38)
Symmetry-distinct sites (fractional):
In 0.0000 0.0000 0.0000 x2  3 Pt 2.87-3.02, 4 Cl 2.94, 2 In 3.10
In 0.5000 0.0000 0.2483 x2  1 Cl 2.68, 4 Pt 2.95
Pt 0.0000 0.0000 0.7373 x2  7 In 2.87-3.02, 2 Pt 3.10
Cl 0.5000 0.0000 0.4937 x2  5 In 2.68-2.94

Results
M_tot: 0.0 μB/f.u.
ΔE to the lowest computed polymorph: 0.073 eV/atom
formation energy without anion corrections: -0.43 eV/atom

Look up the M_tot of the second one.
0.0 μB/f.u.